{
  "formula": "BeReNO",
  "functional": "PBE-GGA",
  "state": "optimized geometry",
  "lattice": [[2.4735, -2.4735, 0.0000], [2.4735, 2.4735, 0.0000], [0.0000, 0.0000, 6.7473]],
  "species": ["Be", "N", "Re", "N", "Be", "O", "Re", "O"],
  "frac_coords": [[0.2500, 0.2500, 0.9478], [0.7500, 0.7500, 0.3183], [0.7500, 0.2500, 0.5000], [0.2500, 0.2500, 0.6817], [0.7500, 0.7500, 0.0522], [0.2500, 0.7500, 0.0000], [0.2500, 0.7500, 0.5000], [0.7500, 0.2500, 0.0000]],
  "final_energy_ev_per_cell": -63.2,
  "space_group": "P4/nmm, No. 129",
  "vol_a3_per_cell": 82.6,
  "de_polymorph_ev_per_atom": 0.313
}